! Mg2TiPdF (PBE-GGA, optimized geometry); values from VASP
! ΔE_f (raw) (eV/atom): 0.4357
! SG: No. 123
&SYSTEM
  ibrav = 0, nat = 5, ntyp = 4
/
ATOMIC_SPECIES
F 19.00 F.upf
Mg 24.30 Mg.upf
Ti 47.87 Ti.upf
Pd 106.42 Pd.upf
CELL_PARAMETERS angstrom
-4.0556 -0.7619 3.8482
-2.8799 -3.1801 -3.6648
2.1088 -3.6404 1.5017
ATOMIC_POSITIONS angstrom
F -2.4133 -3.7912 0.8426
Mg -1.4399 -1.5900 -1.8324
Mg -2.0278 -0.3810 1.9241
Ti 0.0000 0.0000 0.0000
Pd 1.0544 -1.8202 0.7509